Entry 1:
# Li3Ac2Mg12Ag | Alexandria | GGA-PBE | optimized geometry
# ΔE_f in kJ/mol of formula units: 182
data_Li3Ac2Mg12Ag
_cell_length_a 6.6911
_cell_length_b 6.6911
_cell_length_c 38.1766
_cell_angle_alpha 90.00
_cell_angle_beta 90.00
_cell_angle_gamma 120.00
_space_group_name_H-M_alt 'R -3 m'
_space_group_IT_number 166
_space_group_name_Hall '-R 3 2"'
loop_
_atom_site_label
_atom_site_type_symbol
_atom_site_fract_x
_atom_site_fract_y
_atom_site_fract_z
Li1 Li 0.0000 0.5000 0.0000
Ac1 Ac 0.0000 0.0000 0.1426
Mg1 Mg 0.0091 0.5045 0.1121
Mg2 Mg 0.0283 0.5142 0.6121
Ag1 Ag 0.0000 0.0000 0.5000

***

Entry 2:
# PmNpAs | Alexandria | GGA-PBE | optimized geometry
# ΔE_f in kJ/mol of formula units: -83
data_PmNpAs
_cell_length_a 3.7563
_cell_length_b 3.7563
_cell_length_c 10.8143
_cell_angle_alpha 90.00
_cell_angle_beta 90.00
_cell_angle_gamma 90.00
_space_group_name_H-M_alt 'I 4 m m'
_space_group_IT_number 107
_space_group_name_Hall 'I 4 -2'
loop_
_atom_site_label
_atom_site_type_symbol
_atom_site_fract_x
_atom_site_fract_y
_atom_site_fract_z
Pm1 Pm 0.0000 0.0000 0.0000
Np1 Np 0.0000 0.0000 0.2813
As1 As 0.0000 0.0000 0.6474

***

Entry 3:
# KIr | Alexandria | GGA-PBE | optimized geometry
# ΔE_f in kJ/mol of formula units: 127
data_KIr
_cell_length_a 4.0873
_cell_length_b 14.0929
_cell_length_c 6.3617
_cell_angle_alpha 90.00
_cell_angle_beta 90.00
_cell_angle_gamma 90.00
_space_group_name_H-M_alt 'I m m 2'
_space_group_IT_number 44
loop_
_space_group_symop_operation_xyz
'x,y,z'
'-x,-y,z'
'-x,y,z'
'x,-y,z'
'x+1/2,y+1/2,z+1/2'
'-x+1/2,-y+1/2,z+1/2'
'-x+1/2,y+1/2,z+1/2'
'x+1/2,-y+1/2,z+1/2'
loop_
_atom_site_label
_atom_site_type_symbol
_atom_site_fract_x
_atom_site_fract_y
_atom_site_fract_z
K1 K 0.0000 0.0000 0.0000
K2 K 0.0000 0.2871 0.6447
Ir1 Ir 0.0000 0.0000 0.5115
Ir2 Ir 0.0000 0.4081 0.0986

***

Entry 4:
# Tl3CoCu2Cl8 | Alexandria | GGA-PBE | optimized geometry
# Formation energy from raw total energies in eV per atom: -0.70
data_Tl3CoCu2Cl8
_cell_length_a 6.9470
_cell_length_b 6.9470
_cell_length_c 8.7974
_cell_angle_alpha 90.00
_cell_angle_beta 90.00
_cell_angle_gamma 120.00
_space_group_name_H-M_alt 'P -3 m 1'
_space_group_IT_number 164
_space_group_name_Hall '-P 3 2"'
loop_
_atom_site_label
_atom_site_type_symbol
_atom_site_fract_x
_atom_site_fract_y
_atom_site_fract_z
Tl1 Tl 0.0000 0.0000 0.0000
Tl2 Tl 0.3333 0.6667 0.6539
Co1 Co 0.0000 0.0000 0.5000
Cu1 Cu 0.3333 0.6667 0.2418
Cl1 Cl 0.1538 0.3077 0.3398
Cl2 Cl 0.3333 0.6667 0.9933

***

Entry 5:
# TePW2 | Alexandria | GGA-PBE | optimized geometry
# Formation energy from raw total energies in eV per atom: 0.28
data_TePW2
_cell_length_a 3.2140
_cell_length_b 3.2140
_cell_length_c 25.5395
_cell_angle_alpha 90.00
_cell_angle_beta 90.00
_cell_angle_gamma 120.00
_space_group_name_H-M_alt 'R 3 m'
_space_group_IT_number 160
_space_group_name_Hall 'R 3 -2"'
loop_
_atom_site_label
_atom_site_type_symbol
_atom_site_fract_x
_atom_site_fract_y
_atom_site_fract_z
Te1 Te 0.0000 0.0000 0.0000
P1 P 0.0000 0.0000 0.2236
W1 W 0.0000 0.0000 0.4957
W2 W 0.0000 0.0000 0.7446

***

Entry 6:
# Ac4TeAsS2 | Alexandria | GGA-PBE | optimized geometry
# Formation energy from raw total energies in eV per atom: -1.75
data_Ac4TeAsS2
_cell_length_a 7.7386
_cell_length_b 4.4507
_cell_length_c 7.8106
_cell_angle_alpha 90.00
_cell_angle_beta 109.14
_cell_angle_gamma 90.00
_space_group_name_H-M_alt 'P 1 2/m 1'
_space_group_IT_number 10
loop_
_space_group_symop_operation_xyz
'x,y,z'
'-x,-y,-z'
'-x,y,-z'
'x,-y,z'
loop_
_atom_site_label
_atom_site_type_symbol
_atom_site_fract_x
_atom_site_fract_y
_atom_site_fract_z
Ac1 Ac 0.2265 0.0000 0.2274
Ac2 Ac 0.2380 0.5000 0.7599
Te1 Te 0.5000 0.5000 0.5000
As1 As 0.5000 0.0000 0.0000
S1 S 0.0000 0.0000 0.5000
S2 S 0.0000 0.5000 0.0000